DFT (GGA-PBE) results for a relaxed KInSn2Se4 crystal.

The value obtained for the formation energy from raw total energies is -0.54 eV/atom. The density of states at the Fermi level comes out at 0.7782 states/eV per atom.

The structure in CIF format:
```
data_KInSn2Se4
_cell_length_a 8.380
_cell_length_b 8.795
_cell_length_c 12.095
_cell_angle_alpha 90.00
_cell_angle_beta 90.00
_cell_angle_gamma 90.00
_space_group_name_H-M_alt 'I m m a'
_space_group_IT_number 74
_space_group_name_Hall '-I 2b 2'
loop_
_atom_site_label
_atom_site_type_symbol
_atom_site_fract_x
_atom_site_fract_y
_atom_site_fract_z
K1 K 0.250 0.250 0.250
In1 In 0.000 0.000 0.000
Sn1 Sn 0.000 0.000 0.500
Sn2 Sn 0.250 0.250 0.750
Se1 Se 0.000 0.021 0.753
Se2 Se 0.247 0.250 0.991
```

=====

DFT (GGA-PBE) results for a relaxed Fe2OsPb crystal.

The formation energy is 2.3 eV/f.u. The density of states at the Fermi level comes out at 1.4721 states/eV per atom.

The structure in CIF format:
```
data_Fe2OsPb
_cell_length_a 2.992
_cell_length_b 2.992
_cell_length_c 7.333
_cell_angle_alpha 90.00
_cell_angle_beta 90.00
_cell_angle_gamma 90.00
_space_group_name_H-M_alt 'P 4/m m m'
_space_group_IT_number 123
_space_group_name_Hall '-P 4 2'
loop_
_atom_site_label
_atom_site_type_symbol
_atom_site_fract_x
_atom_site_fract_y
_atom_site_fract_z
Fe1 Fe 0.000 0.000 0.198
Os1 Os 0.500 0.500 0.000
Pb1 Pb 0.500 0.500 0.500
```

=====

DFT (GGA-PBE) results for a relaxed NpBC crystal.

The formation energy is 3.1 eV/f.u. The density of states at the Fermi level comes out at 1.1791 states/eV per atom.

The structure in CIF format:
```
data_NpBC
_cell_length_a 2.587
_cell_length_b 2.587
_cell_length_c 9.039
_cell_angle_alpha 90.00
_cell_angle_beta 90.00
_cell_angle_gamma 90.00
_space_group_name_H-M_alt 'I 4 m m'
_space_group_IT_number 107
_space_group_name_Hall 'I 4 -2'
loop_
_atom_site_label
_atom_site_type_symbol
_atom_site_fract_x
_atom_site_fract_y
_atom_site_fract_z
Np1 Np 0.000 0.000 0.000
B1 B 0.000 0.000 0.272
C1 C 0.000 0.000 0.722
```

=====

DFT (GGA-PBE) results for a relaxed Nd2HoMg8 crystal.

The formation energy is 0.4 eV/f.u. The density of states at the Fermi level comes out at 0.8032 states/eV per atom.

The structure in CIF format:
```
data_Nd2HoMg8
_cell_length_a 5.270
_cell_length_b 7.568
_cell_length_c 14.881
_cell_angle_alpha 90.00
_cell_angle_beta 90.00
_cell_angle_gamma 90.00
_space_group_name_H-M_alt 'I m m m'
_space_group_IT_number 71
_space_group_name_Hall '-I 2 2'
loop_
_atom_site_label
_atom_site_type_symbol
_atom_site_fract_x
_atom_site_fract_y
_atom_site_fract_z
Nd1 Nd 0.000 0.000 0.206
Ho1 Ho 0.000 0.000 0.500
Mg1 Mg 0.000 0.213 0.000
Mg2 Mg 0.000 0.300 0.364
Mg3 Mg 0.000 0.500 0.154
```

=====

DFT (GGA-PBE) results for a relaxed Hf2NiSe6 crystal.

The value obtained for the formation energy from raw total energies is -0.73 eV/atom. The density of states at the Fermi level comes out at 0.5646 states/eV per atom.

The structure in CIF format:
```
data_Hf2NiSe6
_cell_length_a 6.153
_cell_length_b 6.153
_cell_length_c 11.389
_cell_angle_alpha 90.00
_cell_angle_beta 90.00
_cell_angle_gamma 90.00
_space_group_name_H-M_alt 'P 42/m n m'
_space_group_IT_number 136
_space_group_name_Hall '-P 4n 2n'
loop_
_atom_site_label
_atom_site_type_symbol
_atom_site_fract_x
_atom_site_fract_y
_atom_site_fract_z
Hf1 Hf 0.000 0.000 0.160
Ni1 Ni 0.000 0.000 0.500
Se1 Se 0.189 0.189 0.340
Se2 Se 0.213 0.213 0.000
```

=====

DFT (GGA-PBE) results for a relaxed SrAgPd crystal.

The formation energy is -0.8 eV/f.u. The density of states at the Fermi level comes out at 0.4435 states/eV per atom.

The structure in CIF format:
```
data_SrAgPd
_cell_length_a 6.956
_cell_length_b 9.235
_cell_length_c 5.443
_cell_angle_alpha 90.00
_cell_angle_beta 124.17
_cell_angle_gamma 90.00
_space_group_name_H-M_alt 'C 1 2/c 1'
_space_group_IT_number 15
loop_
_space_group_symop_operation_xyz
'x,y,z'
'-x,-y,-z'
'-x,y,-z+1/2'
'x,-y,z+1/2'
'x+1/2,y+1/2,z'
'-x+1/2,-y+1/2,-z'
'-x+1/2,y+1/2,-z+1/2'
'x+1/2,-y+1/2,z+1/2'
loop_
_atom_site_label
_atom_site_type_symbol
_atom_site_fract_x
_atom_site_fract_y
_atom_site_fract_z
Sr1 Sr 0.000 0.130 0.250
Ag1 Ag 0.000 0.498 0.250
Pd1 Pd 0.250 0.250 0.000
```

=====

DFT (GGA-PBE) results for a relaxed Sb2BrO3 crystal.

The value obtained for the formation energy from raw total energies is -1.02 eV/atom. The density of states at the Fermi level comes out at 0.1649 states/eV per atom.

The structure in CIF format:
```
data_Sb2BrO3
_cell_length_a 14.373
_cell_length_b 3.891
_cell_length_c 8.675
_cell_angle_alpha 90.00
_cell_angle_beta 103.63
_cell_angle_gamma 90.00
_space_group_name_H-M_alt 'C 1 2/m 1'
_space_group_IT_number 12
loop_
_space_group_symop_operation_xyz
'x,y,z'
'-x,-y,-z'
'-x,y,-z'
'x,-y,z'
'x+1/2,y+1/2,z'
'-x+1/2,-y+1/2,-z'
'-x+1/2,y+1/2,-z'
'x+1/2,-y+1/2,z'
loop_
_atom_site_label
_atom_site_type_symbol
_atom_site_fract_x
_atom_site_fract_y
_atom_site_fract_z
Sb1 Sb 0.093 0.000 0.250
Sb2 Sb 0.135 0.500 0.627
Br1 Br 0.137 0.500 0.024
O1 O 0.084 0.500 0.389
O2 O 0.106 0.000 0.660
O3 O 0.228 0.000 0.364
```

=====

Repeat the sixth record exactly.
DFT (GGA-PBE) results for a relaxed SrAgPd crystal.

The formation energy is -0.8 eV/f.u. The density of states at the Fermi level comes out at 0.4435 states/eV per atom.

The structure in CIF format:
```
data_SrAgPd
_cell_length_a 6.956
_cell_length_b 9.235
_cell_length_c 5.443
_cell_angle_alpha 90.00
_cell_angle_beta 124.17
_cell_angle_gamma 90.00
_space_group_name_H-M_alt 'C 1 2/c 1'
_space_group_IT_number 15
loop_
_space_group_symop_operation_xyz
'x,y,z'
'-x,-y,-z'
'-x,y,-z+1/2'
'x,-y,z+1/2'
'x+1/2,y+1/2,z'
'-x+1/2,-y+1/2,-z'
'-x+1/2,y+1/2,-z+1/2'
'x+1/2,-y+1/2,z+1/2'
loop_
_atom_site_label
_atom_site_type_symbol
_atom_site_fract_x
_atom_site_fract_y
_atom_site_fract_z
Sr1 Sr 0.000 0.130 0.250
Ag1 Ag 0.000 0.498 0.250
Pd1 Pd 0.250 0.250 0.000
```